Entry 1:
{
  "formula": "Tb6InIr2",
  "functional": "PBE",
  "state": "optimized geometry",
  "delta_e_f_kj_per_mol_fu": -519,
  "magnetic_moment_mub_per_fu": 0.00,
  "cell": [[8.017, -0.130, -2.971], [-4.294, 7.030, -2.291], [-0.132, 0.130, 8.549]],
  "species": ["Tb", "Tb", "Tb", "Tb", "Tb", "Tb", "Tb", "Tb", "Tb", "Tb", "Tb", "Tb", "Ir", "Ir", "Ir", "Ir", "In", "In"],
  "fractional_positions": [[0.309, 0.979, 0.670], [0.204, 0.761, 0.965], [0.691, 0.361, 0.670], [0.531, 0.713, 0.818], [0.104, 0.287, 0.818], [0.896, 0.713, 0.182], [0.469, 0.287, 0.182], [0.204, 0.239, 0.442], [0.796, 0.239, 0.035], [0.309, 0.639, 0.330], [0.796, 0.761, 0.558], [0.691, 0.021, 0.330], [0.500, 0.630, 0.130], [0.500, 0.370, 0.870], [0.331, 0.000, 0.331], [0.669, 0.000, 0.669], [0.000, 0.500, 0.500], [0.000, 0.000, 0.000]]
}



Entry 2:
{
  "formula": "Tb2InIr",
  "functional": "PBE",
  "state": "optimized geometry",
  "delta_e_f_kj_per_mol_fu": -201,
  "magnetic_moment_mub_per_fu": 0.00,
  "cell": [[3.934, 0.000, 0.000], [1.967, 3.407, 0.000], [1.967, 1.136, 8.160]],
  "species": ["Tb", "Tb", "In", "Ir"],
  "fractional_positions": [[0.732, 0.732, 0.803], [0.268, 0.268, 0.197], [0.500, 0.500, 0.500], [0.000, 0.000, 0.000]]
}



Entry 3:
{
  "formula": "Tb2In8Ir",
  "functional": "PBE",
  "state": "optimized geometry",
  "delta_e_f_kj_per_mol_fu": -403,
  "magnetic_moment_mub_per_fu": 0.00,
  "cell": [[4.665, 0.000, 0.000], [0.000, 4.665, 0.000], [0.000, 0.000, 12.167]],
  "species": ["Tb", "Tb", "In", "In", "In", "In", "In", "In", "In", "In", "Ir"],
  "fractional_positions": [[0.000, 0.000, 0.307], [0.000, 0.000, 0.693], [0.500, 0.000, 0.500], [0.500, 0.500, 0.691], [0.000, 0.500, 0.877], [0.500, 0.000, 0.877], [0.500, 0.500, 0.309], [0.500, 0.000, 0.123], [0.000, 0.500, 0.123], [0.000, 0.500, 0.500], [0.000, 0.000, 0.000]]
}



Entry 4:
{
  "formula": "TbIn2Ir",
  "functional": "PBE",
  "state": "optimized geometry",
  "delta_e_f_kj_per_mol_fu": -204,
  "magnetic_moment_mub_per_fu": 0.00,
  "cell": [[5.579, 0.000, 0.000], [0.000, 8.249, 0.000], [0.000, 0.000, 15.585]],
  "species": ["Ir", "Ir", "Ir", "Ir", "Ir", "Ir", "Ir", "Ir", "In", "In", "In", "In", "In", "In", "In", "In", "In", "In", "In", "In", "In", "In", "In", "In", "Tb", "Tb", "Tb", "Tb", "Tb", "Tb", "Tb", "Tb"],
  "fractional_positions": [[0.030, 0.750, 0.930], [0.970, 0.250, 0.070], [0.245, 0.250, 0.817], [0.530, 0.250, 0.570], [0.745, 0.750, 0.683], [0.755, 0.750, 0.183], [0.470, 0.750, 0.430], [0.255, 0.250, 0.317], [0.026, 0.952, 0.785], [0.974, 0.048, 0.215], [0.747, 0.549, 0.037], [0.526, 0.452, 0.715], [0.474, 0.548, 0.285], [0.253, 0.049, 0.963], [0.247, 0.451, 0.463], [0.253, 0.451, 0.963], [0.247, 0.049, 0.463], [0.526, 0.048, 0.715], [0.753, 0.951, 0.537], [0.974, 0.452, 0.215], [0.747, 0.951, 0.037], [0.474, 0.952, 0.285], [0.753, 0.549, 0.537], [0.026, 0.548, 0.785], [0.741, 0.250, 0.397], [0.541, 0.750, 0.861], [0.241, 0.750, 0.103], [0.041, 0.250, 0.639], [0.759, 0.250, 0.897], [0.259, 0.750, 0.603], [0.459, 0.250, 0.139], [0.959, 0.750, 0.361]]
}



Entry 5:
{
  "formula": "TbIn12Ir6",
  "functional": "PBE",
  "state": "optimized geometry",
  "delta_e_f_kj_per_mol_fu": -143,
  "magnetic_moment_mub_per_fu": 0.00,
  "cell": [[-6.525, -3.306, 2.862], [6.014, -3.733, 3.404], [0.130, 7.343, 2.784]],
  "species": ["In", "In", "In", "In", "In", "In", "In", "In", "In", "In", "In", "In", "Ir", "Ir", "Ir", "Ir", "Ir", "Ir", "Tb"],
  "fractional_positions": [[0.596, 0.856, 0.596], [0.500, 0.881, 0.119], [0.881, 0.500, 0.119], [0.119, 0.500, 0.881], [0.856, 0.596, 0.596], [0.119, 0.881, 0.500], [0.881, 0.119, 0.500], [0.144, 0.404, 0.404], [0.404, 0.404, 0.144], [0.500, 0.119, 0.881], [0.404, 0.144, 0.404], [0.596, 0.596, 0.856], [0.727, 0.305, 0.727], [0.695, 0.273, 0.273], [0.727, 0.727, 0.305], [0.273, 0.695, 0.273], [0.273, 0.273, 0.695], [0.305, 0.727, 0.727], [0.000, 0.000, 0.000]]
}



Entry 6:
{
  "formula": "Tb5TlIn2Ir2",
  "functional": "PBE",
  "state": "optimized geometry",
  "delta_e_f_kj_per_mol_fu": -523,
  "magnetic_moment_mub_per_fu": 0.00,
  "cell": [[3.697, 0.000, 0.000], [0.000, 11.982, 0.000], [0.000, 0.000, 11.982]],
  "species": ["Tb", "Tb", "Tb", "Tb", "Tb", "Tb", "Tb", "Tb", "Tb", "Tb", "Ir", "Ir", "Ir", "Ir", "Tl", "Tl", "In", "In", "In", "In"],
  "fractional_positions": [[0.500, 0.293, 0.575], [0.500, 0.925, 0.207], [0.500, 0.425, 0.293], [0.500, 0.793, 0.925], [0.500, 0.000, 0.500], [0.500, 0.500, 0.000], [0.500, 0.075, 0.793], [0.500, 0.207, 0.075], [0.500, 0.707, 0.425], [0.500, 0.575, 0.707], [0.000, 0.131, 0.631], [0.000, 0.631, 0.869], [0.000, 0.869, 0.369], [0.000, 0.369, 0.131], [0.000, 0.500, 0.500], [0.000, 0.000, 0.000], [0.000, 0.324, 0.824], [0.000, 0.676, 0.176], [0.000, 0.176, 0.324], [0.000, 0.824, 0.676]]
}